! Li4Ti3Co3O12 (PBE+U, relaxed); values from VASP
! * uncorrected energy: -6.913 eV/atom
! * V: 10.2 Å³ per atom
! * total moment: 1.9 μB per formula unit
&SYSTEM
  ibrav = 0, nat = 44, ntyp = 4
/
ATOMIC_SPECIES
Li 6.94 Li.upf
Ti 47.87 Ti.upf
Co 58.93 Co.upf
O 16.00 O.upf
ATOMIC_POSITIONS crystal
Li 0.3339 0.5834 0.7504
Li 0.3339 0.0834 0.2503
Li 0.3262 0.3300 0.0079
Li 0.3413 0.8370 0.4924
Li 0.9941 0.7762 0.2360
Li 0.9796 0.2833 0.7079
Li 0.6733 0.3905 0.2643
Li 0.6866 0.8834 0.7920
Ti 0.3243 0.8263 0.0071
Ti 0.3419 0.3408 0.4928
Ti 0.6725 0.1555 0.9981
Ti 0.6923 0.6623 0.4782
Ti 0.9745 0.5044 0.0217
Ti 0.9943 0.0112 0.5018
Co 0.3331 0.0834 0.7500
Co 0.6701 0.9200 0.2473
Co 0.9966 0.2466 0.2526
Co 0.3334 0.5833 0.2499
Co 0.6656 0.4220 0.7532
Co 0.0008 0.7446 0.7467
O 0.9770 0.5103 0.7775
O 0.9810 0.0114 0.2679
O 0.6893 0.6563 0.7225
O 0.6857 0.1551 0.2320
O 0.9921 0.2659 0.0279
O 0.9968 0.7657 0.4953
O 0.6699 0.4009 0.0047
O 0.6745 0.9007 0.4720
O 0.3502 0.3378 0.7295
O 0.3517 0.8385 0.2345
O 0.3149 0.3281 0.2655
O 0.3162 0.8289 0.7705
O 0.3596 0.0771 0.9978
O 0.3623 0.5775 0.4942
O 0.3041 0.5892 0.0056
O 0.3069 0.0896 0.5022
O 0.6510 0.9230 0.0136
O 0.6502 0.4246 0.4922
O 0.0161 0.7421 0.0078
O 0.0154 0.2436 0.4864
O 0.6695 0.6859 0.2617
O 0.6772 0.1951 0.7756
O 0.9973 0.4807 0.2382
O 0.9891 0.9715 0.7243
CELL_PARAMETERS angstrom
-6.1065 1.8740 -1.4122
0.3978 -1.9188 8.1478
2.3815 8.0215 2.1650